# Na2CdSnH | Alexandria | PBE | optimized geometry
data_Na2CdSnH
_chemical_formula_sum 'Na2 Cd1 Sn1 H1'
_symmetry_space_group_name_H-M 'P 1'
_symmetry_Int_Tables_number 1
_symmetry_space_group_name_Hall 'P 1'
_cell_length_a 4.693
_cell_length_b 4.693
_cell_length_c 4.744
_cell_angle_alpha 90.00
_cell_angle_beta 90.00
_cell_angle_gamma 90.00
loop_
_atom_site_label
_atom_site_type_symbol
_atom_site_fract_x
_atom_site_fract_y
_atom_site_fract_z
_atom_site_occupancy
Na1 Na 0.500 0.000 0.000 1
Na2 Na 0.000 0.500 0.000 1
Sn1 Sn 0.000 0.000 0.500 1
H1 H 0.000 0.000 0.000 1
Cd1 Cd 0.500 0.500 0.500 1
# theoretical density	4.42	Mg/m³
# symmetry	P4/mmm (123)
# magnetic moment	0.00	μB per formula unit
# E above lowest polymorph	39	meV per atom

---

# NaCd2SnH | Alexandria | PBE | optimized geometry
data_NaCd2SnH
_chemical_formula_sum 'Na1 Cd2 Sn1 H1'
_symmetry_space_group_name_H-M 'P 1'
_symmetry_Int_Tables_number 1
_symmetry_space_group_name_Hall 'P 1'
_cell_length_a 5.828
_cell_length_b 3.824
_cell_length_c 5.828
_cell_angle_alpha 90.00
_cell_angle_beta 90.00
_cell_angle_gamma 90.00
loop_
_atom_site_label
_atom_site_type_symbol
_atom_site_fract_x
_atom_site_fract_y
_atom_site_fract_z
_atom_site_occupancy
Sn1 Sn 0.000 0.000 0.000 1
Na1 Na 0.500 0.500 0.500 1
Cd1 Cd 0.000 0.000 0.500 1
Cd2 Cd 0.500 0.000 0.000 1
H1 H 0.000 0.500 0.000 1
# theoretical density	4.70	Mg/m³
# symmetry	P4/mmm (123)
# magnetic moment	0.00	μB per formula unit
# E above lowest polymorph	116	meV per atom

---

# NaCdSn2H | Alexandria | PBE | optimized geometry
data_NaCdSn2H
_chemical_formula_sum 'Na1 Cd1 Sn2 H1'
_symmetry_space_group_name_H-M 'P 1'
_symmetry_Int_Tables_number 1
_symmetry_space_group_name_Hall 'P 1'
_cell_length_a 4.783
_cell_length_b 4.783
_cell_length_c 4.599
_cell_angle_alpha 90.00
_cell_angle_beta 90.00
_cell_angle_gamma 90.00
loop_
_atom_site_label
_atom_site_type_symbol
_atom_site_fract_x
_atom_site_fract_y
_atom_site_fract_z
_atom_site_occupancy
H1 H 0.000 0.000 0.000 1
Cd1 Cd 0.500 0.500 0.500 1
Na1 Na 0.000 0.000 0.500 1
Sn1 Sn 0.000 0.500 0.000 1
Sn2 Sn 0.500 0.000 0.000 1
# raw total energy	-2.63	eV per atom
# theoretical density	5.90	Mg/m³
# symmetry	P4/mmm (123)
# magnetic moment	0.00	μB per formula unit

---

# NaCd2SnH | Alexandria | PBE | optimized geometry
data_NaCd2SnH
_chemical_formula_sum 'Na1 Cd2 Sn1 H1'
_symmetry_space_group_name_H-M 'P 1'
_symmetry_Int_Tables_number 1
_symmetry_space_group_name_Hall 'P 1'
_cell_length_a 4.749
_cell_length_b 4.749
_cell_length_c 4.395
_cell_angle_alpha 90.00
_cell_angle_beta 90.00
_cell_angle_gamma 90.00
loop_
_atom_site_label
_atom_site_type_symbol
_atom_site_fract_x
_atom_site_fract_y
_atom_site_fract_z
_atom_site_occupancy
Sn1 Sn 0.500 0.500 0.500 1
Cd1 Cd 0.000 0.500 0.000 1
Cd2 Cd 0.500 0.000 0.000 1
H1 H 0.000 0.000 0.000 1
Na1 Na 0.000 0.000 0.500 1
# theoretical density	6.16	Mg/m³
# symmetry	P4/mmm (123)
# magnetic moment	0.00	μB per formula unit
# E above lowest polymorph	0	meV per atom